1.
Na2Cd16Pb after structural relaxation. Source: the Alexandria database, functional PBE. Values from VASP.

Properties
spin magnetization: 0.0 μB/f.u.
energy of formation: -26 meV per atom
space group: R3m (160)

Quantum ESPRESSO input file:
```
&SYSTEM
  ibrav = 0, nat = 19, ntyp = 3
/
ATOMIC_SPECIES
Cd 112.41 Cd.upf
Na 22.99 Na.upf
Pb 207.20 Pb.upf
ATOMIC_POSITIONS angstrom
Cd -6.048 -5.512 6.753
Cd -5.964 -2.778 8.323
Cd -4.838 -2.917 5.338
Cd -0.823 -5.770 5.142
Cd -0.024 -3.448 10.034
Cd -0.130 -6.923 8.039
Cd -0.693 -1.496 7.595
Cd -3.576 -1.210 7.328
Cd -2.593 -1.622 10.159
Cd 2.037 -1.670 2.801
Cd -3.708 -5.551 4.835
Cd 0.503 -4.108 7.129
Cd -2.060 1.240 3.001
Cd -2.192 -3.120 0.498
Cd -2.782 -7.832 6.594
Cd -0.471 -0.755 1.339
Na -1.500 -2.403 4.266
Na -2.866 -4.594 8.154
Pb -3.938 -6.311 11.203
CELL_PARAMETERS angstrom
-4.473 -6.354 0.841
4.286 -3.352 5.611
-4.199 2.676 6.025
```

2.
Na12CdPb3 after structural relaxation. Source: the Alexandria database, functional PBE. Values from VASP.

Properties
spin magnetization: 0.0 μB/f.u.
energy of formation: -77 meV per atom
space group: P4/mmm (123)

Quantum ESPRESSO input file:
```
&SYSTEM
  ibrav = 0, nat = 16, ntyp = 3
/
ATOMIC_SPECIES
Na 22.99 Na.upf
Pb 207.20 Pb.upf
Cd 112.41 Cd.upf
ATOMIC_POSITIONS angstrom
Na 2.453 0.000 7.499
Na 2.453 2.453 15.065
Na 2.453 2.453 4.977
Na 2.453 0.000 12.543
Na 0.000 2.453 17.505
Na 2.453 2.453 10.021
Na 0.000 2.453 12.543
Na 2.453 0.000 17.505
Na 2.453 0.000 2.537
Na 0.000 2.453 2.537
Na 0.000 2.453 7.499
Na 2.453 2.453 0.000
Pb 0.000 0.000 15.078
Pb 0.000 0.000 4.964
Pb 0.000 0.000 10.021
Cd 0.000 0.000 0.000
CELL_PARAMETERS angstrom
4.906 0.000 0.000
0.000 4.906 0.000
0.000 0.000 20.042
```